First-principles (PBE) data for a relaxed structure of Pm6Pr2Ag, as listed in the Alexandria database. Values from VASP.

Properties
Raw total energy (eV for the cell shown): -40.39
DOS at the Fermi energy (states/eV per cell): 11.2

```
&SYSTEM
  ibrav = 0, nat = 9, ntyp = 3
/
ATOMIC_SPECIES
Pm 145.00 Pm.upf
Pr 140.91 Pr.upf
Ag 107.87 Ag.upf
CELL_PARAMETERS angstrom
-1.830 5.249 7.849
1.830 -5.249 7.849
1.830 5.249 -7.849
ATOMIC_POSITIONS crystal
Pm 0.025 0.182 0.843
Pm 0.260 0.500 0.760
Pm 0.339 0.182 0.157
Pm 0.661 0.818 0.843
Pm 0.740 0.500 0.240
Pm 0.975 0.818 0.157
Pr 0.363 0.863 0.500
Pr 0.637 0.137 0.500
Ag 0.000 0.000 0.000
```